Here is a relaxed structure of Ti3PtC from the Alexandria database. Energies are from PBE.

Properties
The calculated formation energy is -704 meV per atom. The relative energy among the computed polymorphs is 121.2 meV per atom.

a b c (Å): 10.0614 3.1770 9.3360
angles (deg): 90.00 107.59 90.00
Space group Cm (No. 8)
One atom of each set of equivalent atoms:
Ti1 0.0000 0.0000 0.0000 [2 per cell]
Ti2 0.0072 0.5000 0.7389 [2 per cell]
Ti3 0.0466 0.5000 0.2727 [2 per cell]
Ti4 0.2427 0.0000 0.8570 [2 per cell]
Ti5 0.2725 0.5000 0.1359 [2 per cell]
Ti6 0.2945 0.0000 0.4210 [2 per cell]
Pt1 0.0123 0.0000 0.5024 [2 per cell]
Pt2 0.2817 0.5000 0.6511 [2 per cell]
C1 0.1568 0.0000 0.2076 [2 per cell]
C2 0.3907 0.0000 0.0665 [2 per cell]

***

Here is a relaxed structure of NaInP2S8 from the Alexandria database. Energies are from PBE.

Properties
The calculation puts the formation energy without anion corrections at -209 meV per atom.

a b c (Å): 6.0125 6.0125 26.5009
angles (deg): 90.00 90.00 120.00
Space group R-3 (No. 148, hexagonal axes)
One atom of each set of equivalent atoms:
Na1 0.0000 0.0000 0.0000 [3 per cell]
In1 0.0000 0.0000 0.5000 [3 per cell]
P1 0.0000 0.0000 0.2476 [6 per cell]
S1 0.0000 0.0000 0.3245 [6 per cell]
S2 0.0101 0.3649 0.5596 [18 per cell]

***

Here is a relaxed structure of KAcRu2O8 from the Alexandria database. Energies are from PBE.

Properties
The calculation puts the formation energy without anion corrections at -1483 meV per atom.

a b c (Å): 6.1349 6.1349 7.9663
angles (deg): 90.00 90.00 120.00
Space group P-3 (No. 147)
One atom of each set of equivalent atoms:
K1 0.0000 0.0000 0.0000 [1 per cell]
Ac1 0.0000 0.0000 0.5000 [1 per cell]
Ru1 0.3333 0.6667 0.7864 [2 per cell]
O1 0.1716 0.8228 0.7048 [6 per cell]
O2 0.3333 0.6667 0.0056 [2 per cell]

***

Here is a relaxed structure of AcLa2HfN4 from the Alexandria database. Energies are from PBE.

Properties
The calculation puts the formation energy without anion corrections at -1279 meV per atom.

a b c (Å): 6.3015 3.5981 6.3922
angles (deg): 90.00 110.03 90.00
Space group P2/m (No. 10)
One atom of each set of equivalent atoms:
Ac1 0.0000 0.0000 0.0000 [1 per cell]
La1 0.5000 0.0000 0.5000 [1 per cell]
La2 0.5000 0.5000 0.0000 [1 per cell]
Hf1 0.0000 0.5000 0.5000 [1 per cell]
N1 0.2218 0.5000 0.2915 [2 per cell]
N2 0.2257 0.0000 0.7207 [2 per cell]

***

Here is a relaxed structure of Sr2CaTmSe4 from the Alexandria database. Energies are from PBE.

Properties
The calculation puts the formation energy without anion corrections at -1937 meV per atom.

a b c (Å): 7.3681 4.2429 7.4270
angles (deg): 90.00 109.20 90.00
Space group P2/m (No. 10)
One atom of each set of equivalent atoms:
Sr1 0.0000 0.0000 0.0000 [1 per cell]
Sr2 0.5000 0.5000 0.0000 [1 per cell]
Ca1 0.0000 0.5000 0.5000 [1 per cell]
Tm1 0.5000 0.0000 0.5000 [1 per cell]
Se1 0.2509 0.0000 0.7307 [2 per cell]
Se2 0.2637 0.5000 0.2725 [2 per cell]

***

Here is a relaxed structure of Tb15Sm4Sc from the Alexandria database. Energies are from PBE.

Properties
The calculated formation energy is 22 meV per atom.

a b c (Å): 5.0407 5.0407 25.1472
angles (deg): 90.00 90.00 90.00
Space group P4/mmm (No. 123)
One atom of each set of equivalent atoms:
Tb1 0.0000 0.0000 0.0000 [1 per cell]
Tb2 0.0000 0.0000 0.1968 [2 per cell]
Tb3 0.0000 0.0000 0.3991 [2 per cell]
Tb4 0.0000 0.5000 0.0959 [4 per cell]
Tb5 0.0000 0.5000 0.2980 [4 per cell]
Tb6 0.0000 0.5000 0.5000 [2 per cell]
Sm1 0.5000 0.5000 0.1975 [2 per cell]
Sm2 0.5000 0.5000 0.3990 [2 per cell]
Sc1 0.5000 0.5000 0.0000 [1 per cell]

***

Here is a relaxed structure of Nd2TmPd from the Alexandria database. Energies are from PBE.

Properties
The calculated formation energy is 99 meV per atom. The relative energy among the computed polymorphs is 494.7 meV per atom.

a b c (Å): 3.4740 3.4740 33.8349
angles (deg): 90.00 90.00 120.00
Space group R-3m (No. 166, hexagonal axes)
One atom of each set of equivalent atoms:
Nd1 0.0000 0.0000 0.0798 [6 per cell]
Tm1 0.0000 0.0000 0.5000 [3 per cell]
Pd1 0.0000 0.0000 0.0000 [3 per cell]

***

Here is a relaxed structure of LiZrCo from the Alexandria database. Energies are from PBE.

Properties
The calculated formation energy is 119 meV per atom. The relative energy among the computed polymorphs is 150.2 meV per atom.

a b c (Å): 4.2064 4.2064 2.9565
angles (deg): 90.00 90.00 120.00
Space group P3m1 (No. 156)
One atom of each set of equivalent atoms:
Li1 0.0000 0.0000 0.0000 [1 per cell]
Zr1 0.6667 0.3333 0.4225 [1 per cell]
Co1 0.3333 0.6667 0.7857 [1 per cell]

***

Here is a relaxed structure of Cs2CoBi2 from the Alexandria database. Energies are from PBE.

Properties
The calculated formation energy is 103 meV per atom.

a b c (Å): 7.3439 7.3439 6.6303
angles (deg): 90.00 90.00 90.00
Space group P4/mbm (No. 127)
One atom of each set of equivalent atoms:
Cs1 0.1719 0.3281 0.0000 [4 per cell]
Co1 0.0000 0.0000 0.5000 [2 per cell]
Bi1 0.1557 0.6557 0.5000 [4 per cell]

***

Here is a relaxed structure of HoErCd4 from the Alexandria database. Energies are from PBE.

Properties
The calculated formation energy is -305 meV per atom. The relative energy among the computed polymorphs is 0.0 meV per atom.

a b c (Å): 3.4150 4.9659 8.5727
angles (deg): 90.00 90.00 90.00
Space group Pmmm (No. 47)
One atom of each set of equivalent atoms:
Ho1 0.0000 0.0000 0.0000 [1 per cell]
Er1 0.0000 0.5000 0.5000 [1 per cell]
Cd1 0.5000 0.0000 0.3333 [2 per cell]
Cd2 0.5000 0.5000 0.1675 [2 per cell]

***

Here is a relaxed structure of Zr3Ta from the Alexandria database. Energies are from PBE.

Properties
The calculated formation energy is 145 meV per atom. The relative energy among the computed polymorphs is 41.8 meV per atom.

a b c (Å): 9.9067 9.9067 3.0202
angles (deg): 90.00 90.00 120.00
Space group R-3m (No. 166, hexagonal axes)
One atom of each set of equivalent atoms:
Zr1 0.0000 0.5000 0.0000 [9 per cell]
Ta1 0.0000 0.0000 0.0000 [3 per cell]

***

Values for magnetization, μB/cell, ordered as above
0.0 6.1 4.0 0.0 0.0 0.0 0.0 0.0 3.5 0.0 0.0